Material: Pu3MgRh5
Method: DFT, PBE-GGA
State: relaxed

Cell and atoms, written as POSCAR:
```
Pu3MgRh5
1.0
-4.227 2.429 -3.079
-5.336 -5.314 3.134
1.353 7.115 3.755
Rh Pu Mg
10 6 2
Direct
0.000 0.333 0.667
0.250 0.706 0.000
0.750 0.000 0.294
0.250 0.294 0.294
0.250 0.000 0.706
0.500 0.667 0.333
0.500 0.333 0.667
0.750 0.294 0.000
0.000 0.667 0.333
0.750 0.706 0.706
0.250 0.631 0.631
0.750 0.631 0.000
0.750 0.369 0.369
0.750 0.000 0.631
0.250 0.369 0.000
0.250 0.000 0.369
0.000 0.000 0.000
0.500 0.000 0.000
```

Results
Its crystal system is hexagonal. As for the volume: 332.32 Å³ per cell. Its formation energy is -0.41 eV per atom.